1.
First-principles (GGA-PBE) data for LaEuTmSc after structural relaxation, as listed in Alexandria via LeMat-Bulk.

Output
The symmetry is No. 216. The electronic total energy is -25.38 eV for the cell shown. As for the formation enthalpy at 0 K: 0.155 eV/atom.

Lattice parameters (Å, degrees): 5.6849 5.6849 5.6849 60.00 60.00 60.00
Last column: magnetic moment on the atom in μB.
Atoms (fractional coordinates):
La1 0.0000 0.0000 0.0000  -0.04
Sc1 0.2500 0.2500 0.2500  -0.02
Tm1 0.7500 0.7500 0.7500  0.01
Eu1 0.5000 0.5000 0.5000  6.83

2.
First-principles (GGA-PBE) data for CuRe2Ir after structural relaxation, as listed in Alexandria via LeMat-Bulk.

Output
The symmetry is No. 35. The electronic total energy is -36.65 eV for the cell shown. As for the formation enthalpy at 0 K: 0.300 eV/atom. The energy above the lowest structure with this stoichiometry is 207.2 meV/atom.

Lattice parameters (Å, degrees): 2.6848 2.6848 9.0377 90.00 90.00 116.12
Atoms (fractional coordinates):
Cu1 0.0000 0.0000 0.5001
Ir1 0.5000 0.5000 0.7465
Re1 0.0000 0.0000 0.0015
Re2 0.5000 0.5000 0.2519

3.
First-principles (GGA-PBE) data for NaPd2F6 after structural relaxation, as listed in Alexandria via LeMat-Bulk.

Output
The symmetry is No. 15. Its uncorrected formation energy is -1.524 eV/atom. The electronic total energy is -73.30 eV for the cell shown.

Lattice parameters (Å, degrees): 5.7348 9.2576 9.2576 66.29 51.68 51.68
Last column: magnetic moment on the atom in μB.
Atoms (fractional coordinates):
Na1 0.2500 0.7301 0.2699  0.00
Na2 0.7500 0.2699 0.7301  0.00
F1 0.3209 0.2702 0.0286  0.04
F2 0.9969 0.3084 0.3955  0.01
F3 0.3001 0.9273 0.3463  0.07
F4 0.8001 0.3463 0.9273  0.07
F5 0.5031 0.6045 0.6916  0.01
F6 0.8209 0.0286 0.2702  0.04
F7 0.1999 0.6537 0.0727  0.07
F8 0.4969 0.3955 0.3084  0.01
F9 0.6791 0.7298 0.9714  0.04
F10 0.1791 0.9714 0.7298  0.04
F11 0.0031 0.6916 0.6045  0.01
F12 0.6999 0.0727 0.6537  0.07
Pd1 0.5884 0.6715 0.8361  0.36
Pd2 0.9116 0.1639 0.3285  0.36
Pd3 0.0884 0.8361 0.6715  0.36
Pd4 0.4116 0.3285 0.1639  0.36

4.
First-principles (GGA-PBE) data for Al2PPt after structural relaxation, as listed in Alexandria via LeMat-Bulk.

Output
The symmetry is No. 71. The electronic total energy is -20.16 eV for the cell shown. As for the formation enthalpy at 0 K: -0.306 eV/atom.

Lattice parameters (Å, degrees): 4.6853 4.6853 4.6853 133.55 124.26 75.41
Atoms (fractional coordinates):
P1 0.7500 0.2500 0.5000
Pt1 0.2500 0.7500 0.5000
Al1 0.5101 0.5101 0.0000
Al2 0.9899 0.9899 0.0000

5.
First-principles (GGA-PBE) data for BaNaFe2Hg after structural relaxation, as listed in Alexandria via LeMat-Bulk.

Output
The symmetry is No. 123. The electronic total energy is -15.37 eV for the cell shown. As for the formation enthalpy at 0 K: 1.020 eV/atom.

Lattice parameters (Å, degrees): 5.1286 5.3723 5.1286 90.00 90.00 90.00
Last column: magnetic moment on the atom in μB.
Atoms (fractional coordinates):
Na1 0.0000 0.0000 0.0000  -0.02
Ba1 0.5000 0.5000 0.5000  -0.08
Fe1 0.0000 0.0000 0.5000  2.92
Fe2 0.5000 0.0000 0.0000  3.20
Hg1 0.0000 0.5000 0.0000  -0.02

6.
First-principles (GGA-PBE) data for Y2ScW2 after structural relaxation, as listed in Alexandria via LeMat-Bulk.

Output
The symmetry is No. 139. The electronic total energy is -40.94 eV for the cell shown. As for the formation enthalpy at 0 K: 0.846 eV/atom. The energy above the lowest structure with this stoichiometry is 359.4 meV/atom.

Lattice parameters (Å, degrees): 4.3231 4.3231 7.2172 72.57 72.57 90.00
Atoms (fractional coordinates):
Y1 0.2500 0.7500 0.5000
Y2 0.7500 0.2500 0.5000
W1 0.5884 0.5884 0.8232
W2 0.4116 0.4116 0.1768
Sc1 0.0000 0.0000 0.0000

7.
First-principles (GGA-PBE) data for LaPu2Ru2 after structural relaxation, as listed in Alexandria via LeMat-Bulk.

Output
The symmetry is No. 139. The electronic total energy is -105.30 eV for the cell shown. As for the formation enthalpy at 0 K: -0.102 eV/atom. The energy above the lowest structure with this stoichiometry is 0.0 meV/atom.

Lattice parameters (Å, degrees): 4.4908 4.4908 11.9229 100.86 100.86 90.00
Last column: magnetic moment on the atom in μB.
Atoms (fractional coordinates):
La1 0.3647 0.3647 0.7294  0.19
La2 0.6353 0.6353 0.2706  0.19
Ru1 0.7500 0.2500 0.5000  -0.45
Ru2 0.9245 0.9245 0.8490  -0.56
Ru3 0.2500 0.7500 0.5000  -0.45
Ru4 0.0755 0.0755 0.1510  -0.56
Pu1 0.1852 0.1852 0.3703  4.82
Pu2 0.0000 0.5000 0.0000  5.23
Pu3 0.5000 0.0000 0.0000  5.23
Pu4 0.8148 0.8148 0.6297  4.82

8.
First-principles (GGA-PBE) data for Ti2BeRh2 after structural relaxation, as listed in Alexandria via LeMat-Bulk.

Output
The symmetry is No. 127. The electronic total energy is -72.28 eV for the cell shown. As for the formation enthalpy at 0 K: -0.384 eV/atom.

Lattice parameters (Å, degrees): 7.0656 7.0656 3.0309 90.00 90.00 90.00
Atoms (fractional coordinates):
Rh1 0.1423 0.3577 0.0000
Rh2 0.8577 0.6423 0.0000
Rh3 0.6423 0.1423 0.0000
Rh4 0.3577 0.8577 0.0000
Ti1 0.1630 0.6630 0.5000
Ti2 0.8370 0.3370 0.5000
Ti3 0.6630 0.8370 0.5000
Ti4 0.3370 0.1630 0.5000
Be1 0.5000 0.5000 0.0000
Be2 0.0000 0.0000 0.0000

9.
First-principles (GGA-PBE) data for Y2CuGe4Au3 after structural relaxation, as listed in Alexandria via LeMat-Bulk.

Output
The symmetry is No. 115. The electronic total energy is -50.08 eV for the cell shown. As for the formation enthalpy at 0 K: -0.476 eV/atom.

Lattice parameters (Å, degrees): 4.1709 4.1709 11.3945 90.00 90.00 90.00
Atoms (fractional coordinates):
Au1 0.0000 0.0000 0.5000
Au2 0.5000 0.0000 0.8504
Au3 0.0000 0.5000 0.1496
Ge1 0.5000 0.5000 0.0000
Ge2 0.0000 0.5000 0.3687
Ge3 0.5000 0.0000 0.6313
Ge4 0.0000 0.0000 0.0000
Cu1 0.5000 0.5000 0.5000
Y1 0.0000 0.5000 0.7236
Y2 0.5000 0.0000 0.2764

10.
First-principles (GGA-PBE) data for MgSc2Tc after structural relaxation, as listed in Alexandria via LeMat-Bulk.

Output
The symmetry is No. 119. The electronic total energy is -24.50 eV for the cell shown. As for the formation enthalpy at 0 K: 0.031 eV/atom.

Lattice parameters (Å, degrees): 5.2308 5.2308 5.2308 132.27 132.27 69.81
Atoms (fractional coordinates):
Tc1 0.5000 0.5000 0.0000
Mg1 0.7500 0.2500 0.5000
Sc1 0.0000 0.0000 0.0000
Sc2 0.2500 0.7500 0.5000

11.
First-principles (GGA-PBE) data for Ac8SbTe3Ir3 after structural relaxation, as listed in Alexandria via LeMat-Bulk.

Output
The symmetry is No. 166. Its uncorrected formation energy is -1.001 eV/atom. The electronic total energy is -88.01 eV for the cell shown.

Lattice parameters (Å, degrees): 9.0787 9.0784 9.3202 119.15 90.00 120.00
Atoms (fractional coordinates):
Ir1 0.5000 0.0000 0.5000
Ir2 0.5000 0.5000 0.5000
Ir3 0.0000 0.5000 0.5000
Ac1 0.7484 0.4967 0.2810
Ac2 0.2627 0.5254 0.2886
Ac3 0.7483 0.0327 0.2812
Ac4 0.7156 0.9673 0.7188
Ac5 0.2517 0.9673 0.7188
Ac6 0.2844 0.0327 0.2812
Ac7 0.7373 0.4746 0.7114
Ac8 0.2516 0.5033 0.7190
Te1 0.5000 0.5000 0.0000
Te2 0.0000 0.5000 0.0000
Te3 0.0000 0.0000 0.0000
Sb1 0.0000 0.0000 0.5000

12.
First-principles (GGA-PBE) data for HoHfTeO6 after structural relaxation, as listed in Alexandria via LeMat-Bulk.

Output
The symmetry is No. 163. Its uncorrected formation energy is -2.478 eV/atom. The electronic total energy is -139.44 eV for the cell shown.

Lattice parameters (Å, degrees): 5.4474 5.4474 9.6595 90.00 90.00 120.00
Last column: magnetic moment on the atom in μB.
Atoms (fractional coordinates):
O1 0.3485 0.3516 0.8643  0.04
O2 0.3516 0.0031 0.1357  0.04
O3 0.6484 0.9969 0.8643  0.04
O4 0.6515 0.6484 0.1357  0.04
O5 0.0031 0.6515 0.8643  0.04
O6 0.6515 0.0031 0.3643  0.04
O7 0.9969 0.6484 0.3643  0.04
O8 0.0031 0.3516 0.6357  0.04
O9 0.3485 0.9969 0.6357  0.04
O10 0.3516 0.3485 0.3643  0.04
O11 0.6484 0.6515 0.6357  0.04
O12 0.9969 0.3485 0.1357  0.04
Hf1 0.3333 0.6667 0.2500  0.02
Hf2 0.6667 0.3333 0.7500  0.02
Ho1 0.0000 0.0000 0.5000  0.01
Ho2 0.0000 0.0000 0.0000  0.01
Te1 0.3333 0.6667 0.7500  0.07
Te2 0.6667 0.3333 0.2500  0.07

13.
First-principles (GGA-PBE) data for Zr3Co5Sb after structural relaxation, as listed in Alexandria via LeMat-Bulk.

Output
The symmetry is No. 193. Its uncorrected formation energy is -0.123 eV/atom. The electronic total energy is -132.80 eV for the cell shown.

Lattice parameters (Å, degrees): 7.6282 7.6282 5.5182 90.00 90.00 120.00
Last column: magnetic moment on the atom in μB.
Atoms (fractional coordinates):
Zr1 0.0000 0.3632 0.2500  -0.08
Zr2 0.6367 0.6368 0.2500  -0.08
Zr3 0.3633 0.3632 0.7500  -0.08
Zr4 0.3632 0.0000 0.2500  -0.08
Zr5 0.6368 0.0000 0.7500  -0.08
Zr6 0.0000 0.6368 0.7500  -0.08
Sb1 0.0000 0.0000 0.5000  0.00
Sb2 0.0000 0.0000 0.0000  0.00
Co1 0.3180 0.0000 0.7500  0.13
Co2 0.3333 0.6667 0.0000  0.61
Co3 0.6820 0.0000 0.2500  0.13
Co4 0.3180 0.3180 0.2500  0.13
Co5 0.3333 0.6667 0.5000  0.61
Co6 0.0000 0.6820 0.2500  0.13
Co7 0.6820 0.6820 0.7500  0.13
Co8 0.6667 0.3333 0.5000  0.61
Co9 0.6667 0.3333 0.0000  0.61
Co10 0.0000 0.3180 0.7500  0.13

14.
First-principles (GGA-PBE) data for TiFe2RePd after structural relaxation, as listed in Alexandria via LeMat-Bulk.

Output
The symmetry is No. 123. The electronic total energy is -35.66 eV for the cell shown. As for the formation enthalpy at 0 K: 1.361 eV/atom.

Lattice parameters (Å, degrees): 4.2699 4.5516 4.2699 90.00 90.00 90.00
Last column: magnetic moment on the atom in μB.
Atoms (fractional coordinates):
Ti1 0.0000 0.0000 0.0000  -0.45
Pd1 0.5000 0.5000 0.5000  0.08
Fe1 0.0000 0.0000 0.5000  2.27
Fe2 0.5000 0.0000 0.0000  2.21
Re1 0.0000 0.5000 0.0000  0.24

15.
First-principles (GGA-PBE) data for La4Dy7Y after structural relaxation, as listed in Alexandria via LeMat-Bulk.

Output
The symmetry is No. 164. The electronic total energy is -58.15 eV for the cell shown. As for the formation enthalpy at 0 K: 0.020 eV/atom. The energy above the lowest structure with this stoichiometry is 0.0 meV/atom.

Lattice parameters (Å, degrees): 3.6165 3.6165 35.2782 90.00 90.00 120.00
Atoms (fractional coordinates):
Dy1 0.3333 0.6667 0.4185
Dy2 0.0000 0.0000 0.0000
Dy3 0.0000 0.0000 0.7511
Dy4 0.6667 0.3333 0.8317
Dy5 0.3333 0.6667 0.1683
Dy6 0.6667 0.3333 0.5815
Dy7 0.0000 0.0000 0.2489
La1 0.6667 0.3333 0.0838
La2 0.6667 0.3333 0.3337
La3 0.3333 0.6667 0.9162
La4 0.3333 0.6667 0.6663
Y1 0.0000 0.0000 0.5000

16.
First-principles (GGA-PBE) data for MgTaCoPt after structural relaxation, as listed in Alexandria via LeMat-Bulk.

Output
The symmetry is No. 216. The electronic total energy is -28.09 eV for the cell shown. As for the formation enthalpy at 0 K: -0.373 eV/atom.

Lattice parameters (Å, degrees): 4.4310 4.4310 4.4310 60.00 60.00 60.00
Last column: magnetic moment on the atom in μB.
Atoms (fractional coordinates):
Pt1 0.7500 0.7500 0.7500  0.16
Mg1 0.0000 0.0000 0.0000  0.01
Co1 0.2500 0.2500 0.2500  1.29
Ta1 0.5000 0.5000 0.5000  0.08

17.
First-principles (GGA-PBE) data for Ce2SbRh4 after structural relaxation, as listed in Alexandria via LeMat-Bulk.

Output
The symmetry is No. 12. Its uncorrected formation energy is -0.596 eV/atom. The electronic total energy is -49.57 eV for the cell shown.

Lattice parameters (Å, degrees): 5.2453 5.2452 8.1786 123.61 123.62 67.07
Last column: magnetic moment on the atom in μB.
Atoms (fractional coordinates):
Rh1 0.0000 0.5000 0.0000  -0.01
Rh2 0.0469 0.0469 0.3741  -0.02
Rh3 0.5000 0.0000 0.0000  -0.01
Rh4 0.9531 0.9531 0.6259  -0.02
Ce1 0.6189 0.6189 0.2953  0.13
Ce2 0.3811 0.3811 0.7047  0.13
Sb1 0.0000 0.0000 0.0000  0.00

In order of appearance, density = 6.45 17.83 3.84 7.75 5.55 8.02 11.88 6.82 9.41 4.58 8.75 7.59 8.24 9.05 7.41 12.40 8.72 g/cm³.